Density functional theory data (GGA+U) for a relaxed structure of Co3GeO.

Output
The mass density comes out at 7.34 Mg/m³. For the density of states at the Fermi level, the calculation gives 2.2 states/eV per cell. The value obtained for the distance to the lowest polymorph of the same formula is 0 meV/atom.

Cell lengths 3.9160, 3.9160, 3.9160 Å; angles 90.00, 90.00, 90.00 degrees
Space group Pm-3m (No. 221)
One atom of each set of equivalent atoms:
Co (0.0000, 0.0000, 0.5000) x3
Ge (0.5000, 0.5000, 0.5000) x1
O (0.0000, 0.0000, 0.0000) x1